Entry 1:
# AgHg2Se (GGA-PBE, relaxed)
data_AgHg2Se
_chemical_formula_sum 'Ag2 Hg4 Se2'
_cell_length_a 4.6417
_cell_length_b 4.6417
_cell_length_c 8.3171
_cell_angle_alpha 90.00
_cell_angle_beta 90.00
_cell_angle_gamma 90.00
_symmetry_space_group_name_H-M 'I -4 m 2'
_symmetry_Int_Tables_number 119
_symmetry_space_group_name_Hall 'I -4 -2'
loop_
_atom_site_label
_atom_site_fract_x
_atom_site_fract_y
_atom_site_fract_z
Ag1 0.0000 0.0000 0.0000
Hg1 0.0000 0.0000 0.5000
Hg2 0.0000 0.5000 0.7500
Se1 0.0000 0.5000 0.2500
# ρ: 10.90 g/cm³
# Formation energy from raw total energies: 0.159 eV/atom
# DOS(E_F): 0.41 states/eV/atom
# Total DFT energy (no corrections): -0.0579 hartree per atom

Entry 2:
# AgHg2Se (GGA-PBE, relaxed)
data_AgHg2Se
_chemical_formula_sum 'Ag1 Hg2 Se1'
_cell_length_a 3.1050
_cell_length_b 3.1050
_cell_length_c 9.7144
_cell_angle_alpha 90.00
_cell_angle_beta 90.00
_cell_angle_gamma 90.00
_symmetry_space_group_name_H-M 'P 4 m m'
_symmetry_Int_Tables_number 99
_symmetry_space_group_name_Hall 'P 4 -2'
loop_
_atom_site_label
_atom_site_fract_x
_atom_site_fract_y
_atom_site_fract_z
Ag1 0.0000 0.0000 0.0000
Hg1 0.0000 0.0000 0.4993
Hg2 0.5000 0.5000 0.2234
Se1 0.5000 0.5000 0.8039
# ρ: 10.43 g/cm³
# Formation energy from raw total energies: 0.134 eV/atom
# DOS(E_F): 0.41 states/eV/atom
# Total DFT energy (no corrections): -0.0588 hartree per atom

Entry 3:
# AgHgSe (GGA-PBE, relaxed)
data_AgHgSe
_chemical_formula_sum 'Ag2 Hg2 Se2'
_cell_length_a 3.1124
_cell_length_b 3.1124
_cell_length_c 13.6842
_cell_angle_alpha 90.00
_cell_angle_beta 90.00
_cell_angle_gamma 90.00
_symmetry_space_group_name_H-M 'I 4 m m'
_symmetry_Int_Tables_number 107
_symmetry_space_group_name_Hall 'I 4 -2'
loop_
_atom_site_label
_atom_site_fract_x
_atom_site_fract_y
_atom_site_fract_z
Ag1 0.0000 0.0000 0.0000
Hg1 0.0000 0.0000 0.6610
Se1 0.0000 0.0000 0.3596
# ρ: 9.71 g/cm³
# Formation energy from raw total energies: 0.169 eV/atom
# Distance to the lowest polymorph of the same formula: 0.265 eV per atom
# DOS(E_F): 0.44 states/eV/atom
# Total DFT energy (no corrections): -0.0751 hartree per atom

Entry 4:
# AgHgSe (GGA-PBE, relaxed)
data_AgHgSe
_chemical_formula_sum 'Ag4 Hg4 Se4'
_cell_length_a 6.6217
_cell_length_b 6.6217
_cell_length_c 6.6217
_cell_angle_alpha 90.00
_cell_angle_beta 90.00
_cell_angle_gamma 90.00
_symmetry_space_group_name_H-M 'F -4 3 m'
_symmetry_Int_Tables_number 216
_symmetry_space_group_name_Hall 'F -4 2 3'
loop_
_atom_site_label
_atom_site_fract_x
_atom_site_fract_y
_atom_site_fract_z
Ag1 0.0000 0.0000 0.0000
Hg1 0.2500 0.2500 0.2500
Se1 0.2500 0.2500 0.7500
# ρ: 8.86 g/cm³
# Formation energy from raw total energies: 0.052 eV/atom
# Distance to the lowest polymorph of the same formula: 0.148 eV per atom
# DOS(E_F): 0.38 states/eV/atom
# Total DFT energy (no corrections): -0.0794 hartree per atom

> What is the formula in the third record?

AgHgSe

> Which of these has the lowest ρ?

number 4

What did the third record say?
# AgHgSe (GGA-PBE, relaxed)
data_AgHgSe
_chemical_formula_sum 'Ag2 Hg2 Se2'
_cell_length_a 3.1124
_cell_length_b 3.1124
_cell_length_c 13.6842
_cell_angle_alpha 90.00
_cell_angle_beta 90.00
_cell_angle_gamma 90.00
_symmetry_space_group_name_H-M 'I 4 m m'
_symmetry_Int_Tables_number 107
_symmetry_space_group_name_Hall 'I 4 -2'
loop_
_atom_site_label
_atom_site_fract_x
_atom_site_fract_y
_atom_site_fract_z
Ag1 0.0000 0.0000 0.0000
Hg1 0.0000 0.0000 0.6610
Se1 0.0000 0.0000 0.3596
# ρ: 9.71 g/cm³
# Formation energy from raw total energies: 0.169 eV/atom
# Distance to the lowest polymorph of the same formula: 0.265 eV per atom
# DOS(E_F): 0.44 states/eV/atom
# Total DFT energy (no corrections): -0.0751 hartree per atom